A | An optimized crystal structure of BeSi2Sb. Source: Alexandria via LeMat-Bulk, functional PBE-GGA.

Cell and atoms, written as POSCAR:
```
BeSi2Sb
1.0
1.875 -2.441 0.000
1.875 2.441 0.000
0.000 0.000 7.507
Be Si Sb
1 2 1
Direct
0.000 0.000 0.000
0.500 0.500 0.171
0.500 0.500 0.829
0.000 0.000 0.500
```

Space group: Cmmm (65)
Fermi-level density of states in states/eV/f.u.: 1.6

***

B | An optimized crystal structure of BeSi2Sb. Source: Alexandria via LeMat-Bulk, functional PBE-GGA.

Cell and atoms, written as POSCAR:
```
BeSi2Sb
1.0
0.000 3.267 3.267
3.267 0.000 3.267
3.267 3.267 0.000
Be Si Sb
1 2 1
Direct
0.000 0.000 0.000
0.250 0.250 0.250
0.750 0.750 0.750
0.500 0.500 0.500
```

Space group: Fm-3m (225)
Fermi-level density of states in states/eV/f.u.: 1.8

***

Order from most stable to least stable according to the calculation: A, B

***

A | An optimized crystal structure of BeSi2Sb. Source: Alexandria via LeMat-Bulk, functional PBE-GGA.

Cell and atoms, written as POSCAR:
```
BeSi2Sb
1.0
2.624 -3.689 0.000
2.624 3.689 0.000
0.000 0.000 3.623
Be Si Sb
1 2 1
Direct
0.000 0.000 0.000
0.000 0.500 0.500
0.500 0.000 0.500
0.500 0.500 0.000
```

Space group: Cmmm (65)
Fermi-level density of states in states/eV/f.u.: 1.0

***

B | An optimized crystal structure of BeSi2Sb. Source: Alexandria via LeMat-Bulk, functional PBE-GGA.

Cell and atoms, written as POSCAR:
```
BeSi2Sb
1.0
-2.727 2.727 5.773
2.727 -2.727 5.773
2.727 2.727 -5.773
Be Si Sb
2 4 2
Direct
0.000 0.000 0.000
0.750 0.250 0.500
0.057 0.625 0.932
0.375 0.307 0.432
0.693 0.125 0.068
0.875 0.943 0.568
0.250 0.750 0.500
0.500 0.500 0.000
```

Space group: I-42d (122)
Fermi-level density of states in states/eV/f.u.: 2.1

***

Order from most stable to least stable according to the calculation: B, A

***

A | An optimized crystal structure of Be2Si2Sb. Source: Alexandria via LeMat-Bulk, functional PBE-GGA.

Cell and atoms, written as POSCAR:
```
Be2Si2Sb
1.0
-1.850 1.850 5.366
1.850 -1.850 5.366
1.850 1.850 -5.366
Be Si Sb
2 2 1
Direct
0.109 0.109 0.000
0.891 0.891 0.000
0.250 0.750 0.500
0.750 0.250 0.500
0.500 0.500 0.000
```

Space group: I4/mmm (139)
Fermi-level density of states in states/eV/f.u.: 1.4

***

B | An optimized crystal structure of Be2Si2Sb. Source: Alexandria via LeMat-Bulk, functional PBE-GGA.

Cell and atoms, written as POSCAR:
```
Be2Si2Sb
1.0
7.288 0.000 0.000
0.000 7.288 0.000
0.000 0.000 2.828
Be Si Sb
4 4 2
Direct
0.159 0.341 0.000
0.341 0.841 0.000
0.659 0.159 0.000
0.841 0.659 0.000
0.124 0.624 0.500
0.376 0.124 0.500
0.624 0.876 0.500
0.876 0.376 0.500
0.000 0.000 0.000
0.500 0.500 0.000
```

Space group: P4/mbm (127)
Fermi-level density of states in states/eV/f.u.: 1.9

***

Order from most stable to least stable according to the calculation: A, B

***

A | An optimized crystal structure of Be3SiSb. Source: Alexandria via LeMat-Bulk, functional PBE-GGA.

Cell and atoms, written as POSCAR:
```
Be3SiSb
1.0
4.318 0.000 0.000
0.000 4.318 0.000
0.000 0.000 4.318
Be Si Sb
3 1 1
Direct
0.000 0.000 0.500
0.000 0.500 0.000
0.500 0.000 0.000
0.000 0.000 0.000
0.500 0.500 0.500
```

Space group: Pm-3m (221)
Fermi-level density of states in states/eV/f.u.: 2.6

***

B | An optimized crystal structure of Be3SiSb. Source: Alexandria via LeMat-Bulk, functional PBE-GGA.

Cell and atoms, written as POSCAR:
```
Be3SiSb
1.0
4.600 0.000 0.000
0.000 4.600 0.000
0.000 0.000 4.600
Be Si Sb
3 1 1
Direct
0.000 0.000 0.500
0.000 0.500 0.000
0.500 0.000 0.000
0.500 0.500 0.500
0.000 0.000 0.000
```

Space group: Pm-3m (221)
Fermi-level density of states in states/eV/f.u.: 3.7

***

Order from most stable to least stable according to the calculation: A, B

***

A | An optimized crystal structure of BeSi2SbTe. Source: Alexandria via LeMat-Bulk, functional PBE-GGA.

Cell and atoms, written as POSCAR:
```
BeSi2SbTe
1.0
5.402 0.000 0.000
0.000 5.402 0.000
0.000 0.000 4.418
Be Si Sb Te
1 2 1 1
Direct
0.000 0.000 0.000
0.000 0.500 0.500
0.500 0.000 0.500
0.500 0.500 0.000
0.000 0.000 0.500
```

Space group: P4/mmm (123)
Fermi-level density of states in states/eV/f.u.: 3.8

***

B | An optimized crystal structure of BeSi2SbTe. Source: Alexandria via LeMat-Bulk, functional PBE-GGA.

Cell and atoms, written as POSCAR:
```
BeSi2SbTe
1.0
5.330 0.000 0.000
0.000 5.330 0.000
0.000 0.000 4.465
Be Si Sb Te
1 2 1 1
Direct
0.000 0.000 0.000
0.000 0.500 0.500
0.500 0.000 0.500
0.000 0.000 0.500
0.500 0.500 0.000
```

Space group: P4/mmm (123)
Fermi-level density of states in states/eV/f.u.: 3.1

***

Order from most stable to least stable according to the calculation: B, A

***

A | An optimized crystal structure of Be2SnSb. Source: Alexandria via LeMat-Bulk, functional PBE-GGA.

Cell and atoms, written as POSCAR:
```
Be2SnSb
1.0
-3.030 3.030 4.892
3.030 -3.030 4.892
3.030 3.030 -4.892
Be Sn Sb
4 2 2
Direct
0.107 0.625 0.982
0.375 0.357 0.482
0.643 0.125 0.018
0.875 0.893 0.518
0.250 0.750 0.500
0.500 0.500 0.000
0.000 0.000 0.000
0.750 0.250 0.500
```

Space group: I-42d (122)
Fermi-level density of states in states/eV/f.u.: 2.0

***

B | An optimized crystal structure of Be2SnSb. Source: Alexandria via LeMat-Bulk, functional PBE-GGA.

Cell and atoms, written as POSCAR:
```
Be2SnSb
1.0
0.000 3.325 3.325
3.325 0.000 3.325
3.325 3.325 0.000
Be Sn Sb
2 1 1
Direct
0.250 0.250 0.250
0.750 0.750 0.750
0.000 0.000 0.000
0.500 0.500 0.500
```

Space group: Fm-3m (225)
Fermi-level density of states in states/eV/f.u.: 1.2

***

Order from most stable to least stable according to the calculation: A, B

***

A | An optimized crystal structure of Be3SnSb. Source: Alexandria via LeMat-Bulk, functional PBE-GGA.

Cell and atoms, written as POSCAR:
```
Be3SnSb
1.0
4.652 0.000 0.000
0.000 4.652 0.000
0.000 0.000 4.652
Be Sn Sb
3 1 1
Direct
0.000 0.000 0.500
0.000 0.500 0.000
0.500 0.000 0.000
0.000 0.000 0.000
0.500 0.500 0.500
```

Space group: Pm-3m (221)
Fermi-level density of states in states/eV/f.u.: 3.2

***

B | An optimized crystal structure of Be3SnSb. Source: Alexandria via LeMat-Bulk, functional PBE-GGA.

Cell and atoms, written as POSCAR:
```
Be3SnSb
1.0
4.703 0.000 0.000
0.000 4.703 0.000
0.000 0.000 4.703
Be Sn Sb
3 1 1
Direct
0.000 0.000 0.500
0.000 0.500 0.000
0.500 0.000 0.000
0.500 0.500 0.500
0.000 0.000 0.000
```

Space group: Pm-3m (221)
Fermi-level density of states in states/eV/f.u.: 4.5

***

Order from most stable to least stable according to the calculation: A, B

***

A | An optimized crystal structure of BeSn2Sb. Source: Alexandria via LeMat-Bulk, functional PBE-GGA.

Cell and atoms, written as POSCAR:
```
BeSn2Sb
1.0
-3.081 3.081 6.091
3.081 -3.081 6.091
3.081 3.081 -6.091
Be Sn Sb
2 4 2
Direct
0.000 0.000 0.000
0.750 0.250 0.500
0.062 0.625 0.937
0.375 0.312 0.437
0.688 0.125 0.063
0.875 0.938 0.563
0.250 0.750 0.500
0.500 0.500 0.000
```

Space group: I-42d (122)
Fermi-level density of states in states/eV/f.u.: 2.2

***

B | An optimized crystal structure of BeSn2Sb. Source: Alexandria via LeMat-Bulk, functional PBE-GGA.

Cell and atoms, written as POSCAR:
```
BeSn2Sb
1.0
0.000 3.631 3.631
3.631 0.000 3.631
3.631 3.631 0.000
Be Sn Sb
1 2 1
Direct
0.000 0.000 0.000
0.250 0.250 0.250
0.750 0.750 0.750
0.500 0.500 0.500
```

Space group: Fm-3m (225)
Fermi-level density of states in states/eV/f.u.: 2.4

***

Order from most stable to least stable according to the calculation: A, B

***

A | An optimized crystal structure of BeSnSb3. Source: Alexandria via LeMat-Bulk, functional PBE-GGA.

Cell and atoms, written as POSCAR:
```
BeSnSb3
1.0
5.656 0.000 0.000
0.000 5.656 0.000
0.000 0.000 5.656
Be Sn Sb
1 1 3
Direct
0.000 0.000 0.000
0.500 0.500 0.500
0.000 0.500 0.500
0.500 0.000 0.500
0.500 0.500 0.000
```

Space group: Pm-3m (221)
Fermi-level density of states in states/eV/f.u.: 6.1

***

B | An optimized crystal structure of BeSnSb3. Source: Alexandria via LeMat-Bulk, functional PBE-GGA.

Cell and atoms, written as POSCAR:
```
BeSnSb3
1.0
5.010 0.000 0.000
0.000 5.010 0.000
0.000 0.000 5.010
Be Sn Sb
1 1 3
Direct
0.000 0.000 0.000
0.500 0.500 0.500
0.000 0.000 0.500
0.000 0.500 0.000
0.500 0.000 0.000
```

Space group: Pm-3m (221)
Fermi-level density of states in states/eV/f.u.: 4.0

***

Order from most stable to least stable according to the calculation: B, A

***

A | An optimized crystal structure of BeSnSb2Te. Source: Alexandria via LeMat-Bulk, functional PBE-GGA.

Cell and atoms, written as POSCAR:
```
BeSnSb2Te
1.0
4.932 0.000 0.000
0.000 4.932 0.000
0.000 0.000 5.301
Be Sn Sb Te
1 1 2 1
Direct
0.000 0.000 0.000
0.500 0.500 0.500
0.000 0.500 0.000
0.500 0.000 0.000
0.000 0.000 0.500
```

Space group: P4/mmm (123)
Fermi-level density of states in states/eV/f.u.: 3.2

***

B | An optimized crystal structure of BeSnSb2Te. Source: Alexandria via LeMat-Bulk, functional PBE-GGA.

Cell and atoms, written as POSCAR:
```
BeSnSb2Te
1.0
5.687 0.000 0.000
0.000 5.687 0.000
0.000 0.000 5.669
Be Sn Sb Te
1 1 2 1
Direct
0.000 0.000 0.000
0.500 0.500 0.500
0.000 0.500 0.500
0.500 0.000 0.500
0.500 0.500 0.000
```

Space group: P4/mmm (123)
Fermi-level density of states in states/eV/f.u.: 6.2

***

Order from most stable to least stable according to the calculation: A, B

***

A | An optimized crystal structure of Sr2BeSb2. Source: Alexandria via LeMat-Bulk, functional PBE-GGA.

Cell and atoms, written as POSCAR:
```
Sr2BeSb2
1.0
7.568 0.000 0.000
0.000 7.568 0.000
0.000 0.000 5.035
Sr Be Sb
4 2 4
Direct
0.171 0.329 0.000
0.329 0.829 0.000
0.671 0.171 0.000
0.829 0.671 0.000
0.000 0.000 0.500
0.500 0.500 0.500
0.143 0.643 0.500
0.357 0.143 0.500
0.643 0.857 0.500
0.857 0.357 0.500
```

Space group: P4/mbm (127)
Fermi-level density of states in states/eV/f.u.: 2.9

***

B | An optimized crystal structure of Sr2BeSb2. Source: Alexandria via LeMat-Bulk, functional PBE-GGA.

Cell and atoms, written as POSCAR:
```
Sr2BeSb2
1.0
-3.163 3.163 6.593
3.163 -3.163 6.593
3.163 3.163 -6.593
Sr Be Sb
2 1 2
Direct
0.250 0.750 0.500
0.750 0.250 0.500
0.000 0.000 0.000
0.173 0.173 0.000
0.827 0.827 0.000
```

Space group: I4/mmm (139)
Fermi-level density of states in states/eV/f.u.: 0.0

***

Order from most stable to least stable according to the calculation: B, A

***

A | An optimized crystal structure of TaBeSb. Source: Alexandria via LeMat-Bulk, functional PBE-GGA.

Cell and atoms, written as POSCAR:
```
TaBeSb
1.0
0.000 3.151 3.151
3.151 0.000 3.151
3.151 3.151 0.000
Ta Be Sb
1 1 1
Direct
0.000 0.000 0.000
0.250 0.250 0.250
0.750 0.750 0.750
```

Space group: F-43m (216)
Fermi-level density of states in states/eV/f.u.: 2.7

***

B | An optimized crystal structure of TaBeSb. Source: Alexandria via LeMat-Bulk, functional PBE-GGA.

Cell and atoms, written as POSCAR:
```
TaBeSb
1.0
-1.475 1.475 7.146
1.475 -1.475 7.146
1.475 1.475 -7.146
Ta Be Sb
1 1 1
Direct
0.000 0.000 0.000
0.393 0.393 0.000
0.659 0.659 0.000
```

Space group: I4mm (107)
Fermi-level density of states in states/eV/f.u.: 0.7

***

Order from most stable to least stable according to the calculation: B, A